The following is a PBE calculation of a relaxed AlAuBr2 crystal, from Alexandria via LeMat-Bulk.

Structure (POSCAR):
```
AlAuBr2
1.0
3.242 0.000 0.000
0.000 3.242 0.000
0.000 0.000 9.170
Al Au Br
1 1 2
Direct
0.000 0.000 0.000
0.500 0.500 0.165
0.000 0.000 0.414
0.500 0.500 0.807
```

Summary:
- ΔE to the lowest computed polymorph: 2.06 eV/f.u.
- Calculated volume: 96.39 Å³/cell
- Energy relative to the elements, uncorrected: -0.070 eV per atom